Entry 1:
## Te4SeBr (PBE)

Data for a relaxed Te4SeBr crystal.

Values from the calculation:
Its uncorrected formation energy is 40.98 kJ/mol of atoms. Its space-group type is F-43m (216). Its crystal system is cubic.

The structure in extended XYZ format:
```
6
Lattice="0.0000 4.4302 4.4302 4.4302 0.0000 4.4302 4.4302 4.4302 0.0000" Properties=species:S:1:pos:R:3 pbc="T T T"
Te 3.3643 3.3643 3.3643
Te 5.4960 5.4960 3.3643
Te 5.4960 3.3643 5.4960
Te 3.3643 5.4960 5.4960
Se 6.6452 6.6452 6.6452
Br 0.0000 0.0000 0.0000
```

---

Entry 2:
## YCo2Sb (PBE)

Data for a relaxed YCo2Sb crystal.

Values from the calculation:
Its uncorrected formation energy is -7.96 kJ/mol of atoms. Its space-group type is Pmmm (47). Its crystal system is orthorhombic.

The structure in extended XYZ format:
```
4
Lattice="3.7188 0.0000 0.0000 0.0000 4.1125 0.0000 0.0000 0.0000 5.2596" Properties=species:S:1:pos:R:3 pbc="T T T"
Y 0.0000 0.0000 0.0000
Co 1.8594 2.0563 1.1260
Co 1.8594 2.0563 4.1336
Sb 1.8594 0.0000 2.6298
```

---

Entry 3:
## TaINO2 (PBE)

Data for a relaxed TaINO2 crystal.

Values from the calculation:
Its uncorrected formation energy is 121.71 kJ/mol of atoms. Its space-group type is P4/mmm (123). Its crystal system is tetragonal.

The structure in extended XYZ format:
```
5
Lattice="3.9683 0.0000 0.0000 0.0000 3.9683 0.0000 0.0000 0.0000 4.7282" Properties=species:S:1:pos:R:3 pbc="T T T"
Ta 0.0000 0.0000 0.0000
I 1.9842 1.9842 2.3641
N 1.9842 1.9842 0.0000
O 0.0000 1.9842 2.3641
O 1.9842 0.0000 2.3641
```

---

Entry 4:
## Dy4Sb3Se (PBE)

Data for a relaxed Dy4Sb3Se crystal.

Values from the calculation:
Its uncorrected formation energy is -125.11 kJ/mol of atoms. Its space-group type is I4/mmm (139). Its crystal system is tetragonal. As for the energy above the most stable polymorph in this dataset: 2.9 meV/atom.

The structure in extended XYZ format:
```
8
Lattice="-3.0558 3.0558 6.0951 3.0558 -3.0558 6.0951 3.0558 3.0558 -6.0951" Properties=species:S:1:pos:R:3 pbc="T T T"
Dy 3.0558 0.0000 0.0000
Dy 0.0000 0.0000 2.9979
Dy 0.0000 3.0558 0.0000
Dy 0.0000 0.0000 9.1924
Sb 3.0558 0.0000 3.0476
Sb 0.0000 0.0000 6.0951
Sb 0.0000 3.0558 3.0476
Se 0.0000 0.0000 0.0000
```

---

Entry 5:
## Na3Tl3GeO8 (PBE)

Data for a relaxed Na3Tl3GeO8 crystal.

Values from the calculation:
Its uncorrected formation energy is -114.53 kJ/mol of atoms. Its space-group type is R-3m (166). Its crystal system is trigonal.

The structure in extended XYZ format:
```
15
Lattice="3.3088 1.9103 5.6118 -3.3088 1.9103 5.6118 0.0000 -3.8207 5.6118" Properties=species:S:1:pos:R:3 pbc="T T T"
Na -1.6544 -0.9552 5.6118
Na -1.6544 0.9552 11.2236
Na 0.0000 1.9103 5.6118
Tl -3.3088 0.0000 8.4177
Tl -1.6544 0.9552 2.8059
Tl 1.6544 0.9552 2.8059
Ge 0.0000 0.0000 8.4177
O 0.0000 0.0000 4.0633
O -1.4133 -0.8159 9.5346
O 0.0000 -1.6319 7.3008
O -1.4133 0.8159 7.3008
O 1.4133 -0.8159 9.5346
O 0.0000 1.6319 9.5346
O 1.4133 0.8159 7.3008
O 0.0000 0.0000 12.7721
```

---

Entry 6:
## AcTlInSn (PBE)

Data for a relaxed AcTlInSn crystal.

Values from the calculation:
Its space-group type is Pmmm (47). The value obtained for the energy of formation from the pure elements is -413.3 meV per atom. Its crystal system is orthorhombic. As for the energy above the most stable polymorph in this dataset: 0.0 meV/atom.

The structure in extended XYZ format:
```
4
Lattice="4.8308 0.0000 0.0000 0.0000 4.8974 0.0000 0.0000 0.0000 5.1310" Properties=species:S:1:pos:R:3 pbc="T T T"
Ac 0.0000 0.0000 0.0000
Tl 2.4154 0.0000 2.5655
In 0.0000 2.4487 2.5655
Sn 2.4154 2.4487 0.0000
```

---

no.,total energy (eV for the cell shown)
1,-15.18
2,-25.13
3,-25.34
4,-44.63
5,-73.14
6,-14.87